# Tm2Cu2Ru (PBE, optimized geometry)
data_Tm2Cu2Ru
_chemical_formula_sum 'Tm8 Cu8 Ru4'
_cell_length_a 5.943
_cell_length_b 11.897
_cell_length_c 5.890
_cell_angle_alpha 90.00
_cell_angle_beta 90.00
_cell_angle_gamma 90.00
_space_group_name_H-M_alt 'I b a m'
_space_group_IT_number 72
_space_group_name_Hall '-I 2 2c'
loop_
_atom_site_label
_atom_site_type_symbol
_atom_site_fract_x
_atom_site_fract_y
_atom_site_fract_z
_atom_site_occupancy
Tm1 Tm 0.228 0.146 0.000 1
Cu1 Cu 0.248 0.118 0.500 1
Ru1 Ru 0.000 0.500 0.250 1
# - Energy of formation: -0.51 eV per formula unit
# - Electronic total energy: -5.39 eV per atom
# - Magnetization: 0.00 μB per formula unit